Al4Fe2Si5O18 | GGA-PBEsol | optimized geometry

* DFT total energy: -8.02 eV/atom

Unit cell a=9.9350 b=9.9350 c=9.3575 alpha=90.00 beta=90.00 gamma=120.74
Fractional positions:
Al (0.0000, 0.5000, 0.2497)
Al (0.0000, 0.5000, 0.7503)
Al (0.1420, 0.2435, 0.0000)
Al (0.2435, 0.1420, 0.5000)
Al (0.5000, 0.0000, 0.2503)
Al (0.5000, 0.0000, 0.7497)
Al (0.7565, 0.8580, 0.5000)
Al (0.8580, 0.7565, 0.0000)
Fe (0.1624, 0.8376, 0.2500)
Fe (0.1624, 0.8376, 0.7500)
Fe (0.8376, 0.1624, 0.2500)
Fe (0.8376, 0.1624, 0.7500)
Si (0.0000, 0.0000, 0.2500)
Si (0.0000, 0.0000, 0.7500)
Si (0.1283, 0.3977, 0.5000)
Si (0.2308, 0.6137, 0.0000)
Si (0.3863, 0.7692, 0.5000)
Si (0.3977, 0.1283, 0.0000)
Si (0.6023, 0.8717, 0.0000)
Si (0.6137, 0.2308, 0.5000)
Si (0.7692, 0.3863, 0.0000)
Si (0.8717, 0.6023, 0.5000)
O (0.0186, 0.3650, 0.3571)
O (0.0186, 0.3650, 0.6429)
O (0.0233, 0.1470, 0.1518)
O (0.0233, 0.1470, 0.8482)
O (0.1470, 0.0233, 0.3482)
O (0.1470, 0.0233, 0.6518)
O (0.1515, 0.6427, 0.1425)
O (0.1515, 0.6427, 0.8575)
O (0.1936, 0.4371, 0.0000)
O (0.2069, 0.2933, 0.5000)
O (0.2572, 0.5843, 0.5000)
O (0.2933, 0.2069, 0.0000)
O (0.3573, 0.8485, 0.3575)
O (0.3573, 0.8485, 0.6425)
O (0.3650, 0.0186, 0.1429)
O (0.3650, 0.0186, 0.8571)
O (0.4157, 0.7428, 0.0000)
O (0.4371, 0.1936, 0.5000)
O (0.5629, 0.8064, 0.5000)
O (0.5843, 0.2572, 0.0000)
O (0.6350, 0.9814, 0.1429)
O (0.6350, 0.9814, 0.8571)
O (0.6427, 0.1515, 0.3575)
O (0.6427, 0.1515, 0.6425)
O (0.7067, 0.7931, 0.0000)
O (0.7428, 0.4157, 0.5000)
O (0.7931, 0.7067, 0.5000)
O (0.8064, 0.5629, 0.0000)
O (0.8485, 0.3573, 0.1425)
O (0.8485, 0.3573, 0.8575)
O (0.8530, 0.9767, 0.3482)
O (0.8530, 0.9767, 0.6518)
O (0.9767, 0.8530, 0.1518)
O (0.9767, 0.8530, 0.8482)
O (0.9814, 0.6350, 0.3571)
O (0.9814, 0.6350, 0.6429)

HgRhCl3 | GGA-PBEsol | optimized geometry

* energy relative to the lowest polymorph listed for this composition: 0.812 eV/atom

Unit cell a=5.1084 b=5.1084 c=5.1084 alpha=90.00 beta=90.00 gamma=90.00
Fractional positions:
Hg (0.0000, 0.0000, 0.0000)
Rh (0.5000, 0.5000, 0.5000)
Cl (0.0000, 0.0000, 0.5000)
Cl (0.0000, 0.5000, 0.0000)
Cl (0.5000, 0.0000, 0.0000)

Re2TcBr | GGA-PBEsol | optimized geometry

* energy relative to the lowest polymorph listed for this composition: 0.457 eV/atom

Unit cell a=2.8638 b=3.8261 c=5.8067 alpha=90.00 beta=90.00 gamma=90.00
Fractional positions:
Re (0.0000, 0.0000, 0.2117)
Re (0.0000, 0.0000, 0.7883)
Tc (0.5000, 0.5000, 0.0000)
Br (0.5000, 0.5000, 0.5000)

HfZrC2 | GGA-PBEsol | optimized geometry

* ΔH_f (0 K): -967 meV per atom

Unit cell a=3.2808 b=3.2808 c=4.6351 alpha=90.00 beta=90.00 gamma=90.00
Fractional positions:
Hf (0.0000, 0.0000, 0.0000)
Zr (0.5000, 0.5000, 0.5000)
C (0.0000, 0.0000, 0.5000)
C (0.5000, 0.5000, 0.0000)

Calculated volume values (in Å³/cell) by entry order: 794 133 64 50.